An optimized crystal structure of SrCu2PdF8. Source: the Alexandria database, functional PBE. Values from VASP.

Cell and atoms, written as Quantum ESPRESSO input:
```
&SYSTEM
  ibrav = 0, nat = 12, ntyp = 4
/
ATOMIC_SPECIES
Sr 87.62 Sr.upf
Cu 63.55 Cu.upf
Pd 106.42 Pd.upf
F 19.00 F.upf
CELL_PARAMETERS angstrom
-0.6628 -4.0394 3.7572
4.9407 1.2487 2.2142
-4.5327 4.9117 0.3726
ATOMIC_POSITIONS crystal
Sr 0.0000 0.0000 0.0000
Cu 0.5000 0.5000 0.0000
Cu 0.2500 0.7500 0.5000
Pd 0.7500 0.2500 0.5000
F 0.6847 0.8524 0.1079
F 0.4232 0.2555 0.1079
F 0.5869 0.6308 0.5952
F 0.0083 0.9643 0.5952
F 0.0357 0.4131 0.4048
F 0.3692 0.9917 0.4048
F 0.1476 0.5768 0.8921
F 0.7445 0.3153 0.8921
```

Output
- final energy (eV for the cell shown) = -52.95
- uncorrected formation energy (eV per atom) = -1.909